# Tm3PbAu PBE-GGA relaxed
# - energy of formation from the pure elements (eV per atom) = -0.44
# - magnetization (μB/atom) = 0.00
data_Tm3PbAu
_cell_length_a 6.3849
_cell_length_b 5.3445
_cell_length_c 8.4780
_cell_angle_alpha 90.00
_cell_angle_beta 90.00
_cell_angle_gamma 90.00
_symmetry_space_group_name_H-M 'P m m a'
_symmetry_Int_Tables_number 51
loop_
_symmetry_equiv_pos_as_xyz
'x,y,z'
'-x,-y,-z'
'-x+1/2,-y,z'
'x+1/2,y,-z'
'x+1/2,-y,-z'
'-x+1/2,y,z'
'-x,y,-z'
'x,-y,z'
loop_
_atom_site_label
_atom_site_fract_x
_atom_site_fract_y
_atom_site_fract_z
Tm1 0.0000 0.0000 0.0000
Tm2 0.2500 0.0000 0.3648
Tm3 0.2500 0.5000 0.7514
Pb1 0.2500 0.5000 0.1504
Au1 0.2500 0.0000 0.6981